{"formula": "Co2BOs", "functional": "GGA-PBE", "state": "relaxed", "final_energy_ev_per_atom": -7.715, "spacegroup": "F-43m", "lattice": [[0.000, 2.747, 2.747], [2.747, 0.000, 2.747], [2.747, 2.747, 0.000]], "species": ["Co", "Co", "B", "Os"], "fractional_positions": [[0.000, 0.000, 0.000], [0.250, 0.250, 0.250], [0.500, 0.500, 0.500], [0.750, 0.750, 0.750]]}